This record from the Alexandria database describes CePm2Si4Pt3 after structural relaxation. The functional is PBE.

Properties
**E_form (uncorrected)**: -0.91 eV/atom
**Total energy**: -6.431 eV per atom
**DOS at the Fermi energy**: 6.785 states/eV per cell

Lattice parameters (Å, degrees): 4.271 4.271 11.005 90.00 90.00 90.00
Space group P-4m2 (No. 115)
Symmetry-distinct sites (fractional):
Ce 0.000 0.000 0.000 [1 per cell]
Pm 0.000 0.500 0.726 [2 per cell]
Si 0.000 0.000 0.500 [1 per cell]
Si 0.000 0.500 0.174 [2 per cell]
Si 0.500 0.500 0.500 [1 per cell]
Pt 0.000 0.500 0.393 [2 per cell]
Pt 0.500 0.500 0.000 [1 per cell]